Compound: La2Pt2I
Source: Alexandria via LeMat-Bulk
Functional: GGA-PBE
Structure: relaxed

Properties
Spin magnetization: 0.00 μB per cell
ΔE to the lowest computed polymorph: 0.000 eV per atom
Final energy: -58.82 eV per cell
N(E_F): 3.35 states/eV/f.u.
Space-group type: Imma

abc: 10.167 10.167 10.167
angles: 135.89 51.01 155.67
Element x y z (fractional)
La1 0.349 0.000 0.849
La2 0.349 0.500 0.349
La3 0.651 0.000 0.151
La4 0.651 0.500 0.651
Pt1 0.201 0.749 0.452
Pt2 0.203 0.251 0.952
Pt3 0.797 0.749 0.048
Pt4 0.799 0.251 0.548
I1 0.330 0.080 0.250
I2 0.670 0.920 0.750